VASP calculation (PBE) on a relaxed TiTcIO2 crystal.

```
TiTcIO2
1.0
-2.728 -0.215 -2.677
-1.443 -3.101 1.720
-3.754 3.704 3.529
I Tc O Ti
1 1 2 1
direct
0.000 0.000 0.500 I
0.000 0.000 0.000 Tc
0.000 0.500 0.000 O
0.500 0.000 0.000 O
0.500 0.500 0.500 Ti
```

Summary:
The crystal system is tetragonal. As for the raw formation energy: -1.43 eV per formula unit.


VASP calculation (PBE) on a relaxed NdZn5CuPt2 crystal.

```
NdZn5CuPt2
1.0
4.844 0.000 0.000
0.000 4.844 0.000
0.000 0.000 7.450
Nd Zn Cu Pt
1 5 1 2
direct
0.000 0.000 0.500 Nd
0.000 0.500 0.188 Zn
0.500 0.000 0.188 Zn
0.000 0.500 0.812 Zn
0.500 0.000 0.812 Zn
0.500 0.500 0.500 Zn
0.000 0.000 0.000 Cu
0.500 0.500 0.181 Pt
0.500 0.500 0.819 Pt
```

Summary:
The crystal system is tetragonal. For the energy of formation from the pure elements, the calculation gives -0.176 eV/atom.


VASP calculation (PBE) on a relaxed Pr7Ge2Pb2 crystal.

```
Pr7Ge2Pb2
1.0
7.258 -0.003 -0.757
0.003 7.148 0.003
-1.208 -0.002 7.197
Pr Ge Pb
7 2 2
direct
0.000 0.273 0.500 Pr
0.500 0.727 0.000 Pr
0.000 0.727 0.500 Pr
0.500 0.273 0.000 Pr
0.000 0.000 0.000 Pr
0.500 0.759 0.500 Pr
0.500 0.241 0.500 Pr
0.730 0.000 0.270 Ge
0.270 0.000 0.730 Ge
0.820 0.500 0.820 Pb
0.180 0.500 0.180 Pb
```

Summary:
The crystal system is orthorhombic. For the energy of formation from the pure elements, the calculation gives -0.372 eV/atom.


VASP calculation (PBE) on a relaxed Mg3BiPb2 crystal.

```
Mg3BiPb2
1.0
4.863 -0.026 0.021
2.389 7.807 0.010
-0.036 0.000 8.420
Mg Bi Pb
6 2 4
direct
0.831 0.340 0.753 Mg
0.500 0.000 0.258 Mg
0.169 0.660 0.247 Mg
0.831 0.340 0.247 Mg
0.169 0.660 0.753 Mg
0.500 0.000 0.742 Mg
0.348 0.312 0.000 Bi
0.652 0.688 0.000 Bi
0.000 0.000 0.000 Pb
0.000 0.000 0.500 Pb
0.333 0.336 0.500 Pb
0.667 0.664 0.500 Pb
```

Summary:
The crystal system is monoclinic. For the energy of formation from the pure elements, the calculation gives -0.067 eV/atom.


Calculated density (g cm⁻³), listed in the same order as above: 5.4 8.8 7.0 7.2